No. 1
! Na2PC PBEsol relaxed; values from VASP
! magnetic moment: 0.0 μB/f.u.
! ΔH_f (0 K): 544 meV/atom
&SYSTEM
  ibrav = 0, nat = 8, ntyp = 3
/
ATOMIC_SPECIES
Na 22.99 Na.upf
P 30.97 P.upf
C 12.01 C.upf
CELL_PARAMETERS angstrom
-5.0033 5.0033 1.8234
5.0033 -5.0033 1.8234
5.0033 5.0033 -1.8234
ATOMIC_POSITIONS crystal
Na 0.0000 0.0000 0.0000
Na 0.0000 0.0000 0.5000
Na 0.0000 0.5000 0.0000
Na 0.5000 0.0000 0.5000
P 0.3750 0.6250 0.7500
P 0.6250 0.3750 0.2500
C 0.1250 0.8750 0.2500
C 0.8750 0.1250 0.7500

***

No. 2
! NaPd3C PBEsol relaxed; values from VASP
! magnetic moment: 0.9 μB/f.u.
! ΔH_f (0 K): 2535 meV/atom
&SYSTEM
  ibrav = 0, nat = 5, ntyp = 3
/
ATOMIC_SPECIES
Na 22.99 Na.upf
Pd 106.42 Pd.upf
C 12.01 C.upf
CELL_PARAMETERS angstrom
4.5056 0.0000 0.0000
0.0000 4.5056 0.0000
0.0000 0.0000 4.5056
ATOMIC_POSITIONS crystal
Na 0.0000 0.0000 0.0000
Pd 0.0000 0.0000 0.5000
Pd 0.0000 0.5000 0.0000
Pd 0.5000 0.0000 0.0000
C 0.5000 0.5000 0.5000

***

No. 3
! Rb2NaPdC PBEsol relaxed; values from VASP
! magnetic moment: 2.3 μB/f.u.
! ΔH_f (0 K): 1435 meV/atom
&SYSTEM
  ibrav = 0, nat = 5, ntyp = 4
/
ATOMIC_SPECIES
Rb 85.47 Rb.upf
Na 22.99 Na.upf
Pd 106.42 Pd.upf
C 12.01 C.upf
CELL_PARAMETERS angstrom
6.2430 0.0000 0.0000
0.0000 6.2430 0.0000
0.0000 0.0000 4.3682
ATOMIC_POSITIONS crystal
Rb 0.0000 0.5000 0.0000
Rb 0.5000 0.0000 0.0000
Na 0.0000 0.0000 0.0000
Pd 0.5000 0.5000 0.5000
C 0.0000 0.0000 0.5000

***

No. 4
! Rb3NaC PBEsol relaxed; values from VASP
! magnetic moment: 2.1 μB/f.u.
! ΔH_f (0 K): 1452 meV/atom
&SYSTEM
  ibrav = 0, nat = 5, ntyp = 3
/
ATOMIC_SPECIES
Rb 85.47 Rb.upf
Na 22.99 Na.upf
C 12.01 C.upf
CELL_PARAMETERS angstrom
7.1279 0.0000 0.0000
0.0000 7.1279 0.0000
0.0000 0.0000 7.1279
ATOMIC_POSITIONS crystal
Rb 0.0000 0.0000 0.5000
Rb 0.0000 0.5000 0.0000
Rb 0.5000 0.0000 0.0000
Na 0.0000 0.0000 0.0000
C 0.5000 0.5000 0.5000

***

No. 5
! NaScRe2C PBEsol relaxed; values from VASP
! magnetic moment: 0.0 μB/f.u.
! ΔH_f (0 K): 379 meV/atom
&SYSTEM
  ibrav = 0, nat = 5, ntyp = 4
/
ATOMIC_SPECIES
Na 22.99 Na.upf
Sc 44.96 Sc.upf
Re 186.21 Re.upf
C 12.01 C.upf
CELL_PARAMETERS angstrom
4.0596 0.0000 0.0000
0.0000 4.0596 0.0000
0.0000 0.0000 4.5683
ATOMIC_POSITIONS crystal
Na 0.0000 0.0000 0.0000
Sc 0.5000 0.5000 0.0000
Re 0.0000 0.5000 0.5000
Re 0.5000 0.0000 0.5000
C 0.0000 0.0000 0.5000

***

No. 6
! NaRe2TeC PBEsol relaxed; values from VASP
! E_form (uncorrected): 4106 meV per atom
! magnetic moment: 4.3 μB/f.u.
&SYSTEM
  ibrav = 0, nat = 5, ntyp = 4
/
ATOMIC_SPECIES
Na 22.99 Na.upf
Re 186.21 Re.upf
Te 127.60 Te.upf
C 12.01 C.upf
CELL_PARAMETERS angstrom
4.6744 0.0000 0.0000
0.0000 4.6744 0.0000
0.0000 0.0000 4.7890
ATOMIC_POSITIONS crystal
Na 0.0000 0.0000 0.0000
Re 0.0000 0.5000 0.0000
Re 0.5000 0.0000 0.0000
Te 0.0000 0.0000 0.5000
C 0.5000 0.5000 0.5000

***

No. 7
! NaRh2C PBEsol relaxed; values from VASP
! magnetic moment: 0.0 μB/f.u.
! ΔH_f (0 K): 1229 meV/atom
&SYSTEM
  ibrav = 0, nat = 4, ntyp = 3
/
ATOMIC_SPECIES
Na 22.99 Na.upf
Rh 102.91 Rh.upf
C 12.01 C.upf
CELL_PARAMETERS angstrom
0.0000 2.8471 2.8471
2.8471 0.0000 2.8471
2.8471 2.8471 0.0000
ATOMIC_POSITIONS crystal
Na 0.0000 0.0000 0.0000
Rh 0.2500 0.2500 0.2500
Rh 0.7500 0.7500 0.7500
C 0.5000 0.5000 0.5000

***

No. 8
! Na2RhC PBEsol relaxed; values from VASP
! magnetic moment: 0.0 μB/f.u.
! ΔH_f (0 K): 1664 meV/atom
&SYSTEM
  ibrav = 0, nat = 4, ntyp = 3
/
ATOMIC_SPECIES
Na 22.99 Na.upf
Rh 102.91 Rh.upf
C 12.01 C.upf
CELL_PARAMETERS angstrom
0.0000 3.0784 3.0784
3.0784 0.0000 3.0784
3.0784 3.0784 0.0000
ATOMIC_POSITIONS crystal
Na 0.2500 0.2500 0.2500
Na 0.7500 0.7500 0.7500
Rh 0.0000 0.0000 0.0000
C 0.5000 0.5000 0.5000

***

No. 9
! Na3SbC PBEsol relaxed; values from VASP
! E_form (uncorrected): 815 meV per atom
! magnetic moment: 2.1 μB/f.u.
&SYSTEM
  ibrav = 0, nat = 5, ntyp = 3
/
ATOMIC_SPECIES
Na 22.99 Na.upf
Sb 121.76 Sb.upf
C 12.01 C.upf
CELL_PARAMETERS angstrom
4.9160 0.0000 0.0000
0.0000 4.9160 0.0000
0.0000 0.0000 4.9160
ATOMIC_POSITIONS crystal
Na 0.0000 0.0000 0.5000
Na 0.0000 0.5000 0.0000
Na 0.5000 0.0000 0.0000
Sb 0.5000 0.5000 0.5000
C 0.0000 0.0000 0.0000

***

No. 10
! NaY2TcC PBEsol relaxed; values from VASP
! magnetic moment: 2.0 μB/f.u.
! ΔH_f (0 K): 704 meV/atom
&SYSTEM
  ibrav = 0, nat = 5, ntyp = 4
/
ATOMIC_SPECIES
Na 22.99 Na.upf
Y 88.91 Y.upf
Tc 98.00 Tc.upf
C 12.01 C.upf
CELL_PARAMETERS angstrom
4.7931 0.0000 0.0000
0.0000 4.7931 0.0000
0.0000 0.0000 4.4923
ATOMIC_POSITIONS crystal
Na 0.0000 0.0000 0.0000
Y 0.0000 0.5000 0.5000
Y 0.5000 0.0000 0.5000
Tc 0.5000 0.5000 0.0000
C 0.0000 0.0000 0.5000

***

No. 11
! NaTiC2 PBEsol relaxed; values from VASP
! magnetic moment: 0.0 μB/f.u.
! ΔH_f (0 K): 1300 meV/atom
&SYSTEM
  ibrav = 0, nat = 4, ntyp = 3
/
ATOMIC_SPECIES
Na 22.99 Na.upf
Ti 47.87 Ti.upf
C 12.01 C.upf
CELL_PARAMETERS angstrom
0.0000 2.7372 2.7372
2.7372 0.0000 2.7372
2.7372 2.7372 0.0000
ATOMIC_POSITIONS crystal
Na 0.0000 0.0000 0.0000
Ti 0.5000 0.5000 0.5000
C 0.2500 0.2500 0.2500
C 0.7500 0.7500 0.7500

***

No. 12
! Na2TlC PBEsol relaxed; values from VASP
! magnetic moment: 0.0 μB/f.u.
! ΔH_f (0 K): 1245 meV/atom
&SYSTEM
  ibrav = 0, nat = 8, ntyp = 3
/
ATOMIC_SPECIES
Na 22.99 Na.upf
Tl 204.38 Tl.upf
C 12.01 C.upf
CELL_PARAMETERS angstrom
-2.0137 2.0137 9.6623
2.0137 -2.0137 9.6623
2.0137 2.0137 -9.6623
ATOMIC_POSITIONS crystal
Na 0.0770 0.6250 0.9520
Na 0.3750 0.3270 0.4520
Na 0.6730 0.1250 0.0480
Na 0.8750 0.9230 0.5480
Tl 0.2500 0.7500 0.5000
Tl 0.5000 0.5000 0.0000
C 0.0000 0.0000 0.0000
C 0.7500 0.2500 0.5000

***

Question: Look up the magnetic moment of the first one.
Answer: 0.0 μB/f.u.

***

Question: The highest magnetic moment belongs to which entry?
Answer: NaRe2TeC

***

Repeat the tenth record exactly.
! NaY2TcC PBEsol relaxed; values from VASP
! magnetic moment: 2.0 μB/f.u.
! ΔH_f (0 K): 704 meV/atom
&SYSTEM
  ibrav = 0, nat = 5, ntyp = 4
/
ATOMIC_SPECIES
Na 22.99 Na.upf
Y 88.91 Y.upf
Tc 98.00 Tc.upf
C 12.01 C.upf
CELL_PARAMETERS angstrom
4.7931 0.0000 0.0000
0.0000 4.7931 0.0000
0.0000 0.0000 4.4923
ATOMIC_POSITIONS crystal
Na 0.0000 0.0000 0.0000
Y 0.0000 0.5000 0.5000
Y 0.5000 0.0000 0.5000
Tc 0.5000 0.5000 0.0000
C 0.0000 0.0000 0.5000